Entry 1:
HfCdPO | PBE | optimized geometry

Cell lengths 5.2349, 5.2349, 4.7673 Å; angles 90.00, 90.00, 90.00 degrees
With the nearest neighbours (Å) after each atom.
Space group P4/nmm (No. 129, origin choice 2)
Symmetry-distinct sites (fractional):
Hf1 0.2500 0.7500 0.0000 (multiplicity 2)  2 O 2.38, 4 P 2.62
Cd1 0.2500 0.2500 0.4857 (multiplicity 2)  2 P 2.38-2.39, 4 O 2.62
P1 0.2500 0.2500 0.9853 (multiplicity 2)  2 Cd 2.38-2.39, 4 Hf 2.62
O1 0.2500 0.7500 0.5000 (multiplicity 2)  2 Hf 2.38, 4 Cd 2.62

VASP energy	-6.261	eV/atom
excess energy over the best structure of this formula in the dataset	31.1	kJ per mole of atoms



Entry 2:
HfCd2Os | PBE | optimized geometry

Cell lengths 6.6618, 6.6618, 6.6618 Å; angles 90.00, 90.00, 90.00 degrees
With the nearest neighbours (Å) after each atom.
Space group F-43m (No. 216)
Symmetry-distinct sites (fractional):
Hf1 0.0000 0.0000 0.0000 (multiplicity 4)  4 Cd 2.88, 4 Os 2.88
Cd1 0.0000 0.0000 0.5000 (multiplicity 4)  4 Os 2.88, 4 Cd 2.88
Cd2 0.2500 0.2500 0.2500 (multiplicity 4)  4 Cd 2.88, 4 Hf 2.88
Os1 0.2500 0.2500 0.7500 (multiplicity 4)  4 Cd 2.88, 4 Hf 2.88

VASP energy	-5.593	eV/atom



no.,magnetization (μB/cell)
1,0.01
2,0.00